[1]
Material: PmInAsO
Method: DFT, PBE
State: relaxed

The structure in extended XYZ format:
```
8
Lattice="4.5425 0.0000 0.0000 0.0000 4.5425 0.0000 0.0000 0.0000 8.3177" Properties=species:S:1:pos:R:3 pbc="T T T"
Pm 1.1356 3.4068 0.0000
Pm 3.4068 1.1356 0.0000
In 1.1356 1.1356 3.4789
In 3.4068 3.4068 4.8388
As 1.1356 1.1356 6.5433
As 3.4068 3.4068 1.7744
O 1.1356 3.4068 4.1588
O 3.4068 1.1356 4.1588
```

Properties
**Crystal system**: tetragonal
**Space group**: No. 129

=====

[2]
Material: PmInAsO
Method: DFT, PBE
State: relaxed

The structure in extended XYZ format:
```
8
Lattice="5.1014 0.0000 0.0000 0.0000 5.3815 0.0000 0.0000 0.0000 6.6469" Properties=species:S:1:pos:R:3 pbc="T T T"
Pm 0.0000 1.0670 0.0000
Pm 0.0000 4.3145 3.3234
In 2.5507 1.3032 2.3121
In 2.5507 4.0783 5.6355
As 2.5507 1.4342 4.9932
As 2.5507 3.9472 1.6698
O 0.0000 0.8640 2.2629
O 0.0000 4.5175 5.5864
```

Properties
**Crystal system**: orthorhombic
**Space group**: No. 26

=====

[3]
Material: PmInAsO
Method: DFT, PBE
State: relaxed

The structure in extended XYZ format:
```
8
Lattice="4.2575 0.0000 0.0000 0.0000 7.4929 0.0000 0.0000 0.0000 6.1180" Properties=species:S:1:pos:R:3 pbc="T T T"
Pm 0.0000 1.4890 0.0000
Pm 0.0000 6.0038 3.0590
In 2.1287 2.9308 3.6110
In 2.1287 4.5620 0.5520
As 0.0000 1.4379 2.9948
As 0.0000 6.0549 6.0538
O 2.1287 2.3632 5.9481
O 2.1287 5.1296 2.8891
```

Properties
**Crystal system**: orthorhombic
**Space group**: No. 26

=====

[4]
Material: PrInAsO
Method: DFT, PBE
State: relaxed

The structure in extended XYZ format:
```
8
Lattice="4.6093 0.0000 0.0000 0.0000 4.6093 0.0000 0.0000 0.0000 8.3040" Properties=species:S:1:pos:R:3 pbc="T T T"
Pr 1.1523 3.4570 0.0000
Pr 3.4570 1.1523 0.0000
In 1.1523 1.1523 3.5340
In 3.4570 3.4570 4.7701
As 1.1523 1.1523 6.5120
As 3.4570 3.4570 1.7920
O 1.1523 3.4570 4.1520
O 3.4570 1.1523 4.1520
```

Properties
**Crystal system**: tetragonal
**Space group**: No. 129

=====

| no. | DFT total energy (Ry per atom) | mass density (g/cm³) | E above lowest polymorph (meV/atom) |
| --- | --- | --- | --- |
| 1 | -0.3581 | 6.8 | 884 |
| 2 | -0.4121 | 6.4 | 149 |
| 3 | -0.4090 | 6.0 | 192 |
| 4 | -0.3560 | 6.5 | 904 |